# 1
Below is a geometry-optimized BaYOs2 structure, with properties calculated at the PBE level.

Computed properties:
Theoretical density ... 11.068 Mg/m³
ΔH_f (0 K) ... 100 kJ per mole of atoms
Offset from the most stable computed form ... 0.928 eV per atom
Spin magnetization ... 0.001 μB per cell

```
data_BaYOs2
_space_group_name_H-M_alt 'R 3 m'
_space_group_IT_number 160
_space_group_name_Hall 'R 3 -2"'
_cell_length_a 3.1122
_cell_length_b 3.1122
_cell_length_c 32.5549
_cell_angle_alpha 90.00
_cell_angle_beta 90.00
_cell_angle_gamma 120.00
loop_
_atom_site_label
_atom_site_type_symbol
_atom_site_fract_x
_atom_site_fract_y
_atom_site_fract_z
Ba1 Ba 0.0000 0.0000 0.0000
Y1 Y 0.0000 0.0000 0.2202
Os1 Os 0.0000 0.0000 0.4800
Os2 Os 0.0000 0.0000 0.7542
```


# 2
Below is a geometry-optimized ZrReW2 structure, with properties calculated at the PBE level.

Computed properties:
Theoretical density ... 15.507 Mg/m³
ΔH_f (0 K) ... 33 kJ per mole of atoms
Offset from the most stable computed form ... 0.398 eV per atom
Spin magnetization ... 0.000 μB per cell

```
data_ZrReW2
_space_group_name_H-M_alt 'C m m m'
_space_group_IT_number 65
_space_group_name_Hall '-C 2 2'
_cell_length_a 5.408
_cell_length_b 9.447
_cell_length_c 2.704
_cell_angle_alpha 90.00
_cell_angle_beta 90.00
_cell_angle_gamma 90.00
loop_
_atom_site_label
_atom_site_type_symbol
_atom_site_fract_x
_atom_site_fract_y
_atom_site_fract_z
Zr1 Zr 0.000 0.000 0.000
Re1 Re 0.000 0.500 0.000
W1 W 0.250 0.250 0.500
```


# 3
Below is a geometry-optimized CaTaOs2 structure, with properties calculated at the PBE level.

Computed properties:
Theoretical density ... 12.636 Mg/m³
ΔH_f (0 K) ... 71 kJ per mole of atoms
Offset from the most stable computed form ... 0.719 eV per atom
Spin magnetization ... 0.000 μB per cell

```
data_CaTaOs2
_space_group_name_H-M_alt 'I -4 2 d'
_space_group_IT_number 122
_space_group_name_Hall 'I -4 2bw'
_cell_length_a 7.399
_cell_length_b 7.399
_cell_length_c 5.775
_cell_angle_alpha 90.00
_cell_angle_beta 90.00
_cell_angle_gamma 90.00
loop_
_atom_site_label
_atom_site_type_symbol
_atom_site_fract_x
_atom_site_fract_y
_atom_site_fract_z
Ca1 Ca 0.000 0.000 0.000
Ta1 Ta 0.000 0.000 0.500
Os1 Os 0.209 0.250 0.625
```


# 4
Below is a geometry-optimized Sr2CeErBi4 structure, with properties calculated at the PBE level.

Computed properties:
Theoretical density ... 7.583 Mg/m³
ΔH_f (0 K) ... -75 kJ per mole of atoms
Spin magnetization ... 0.000 μB per cell

```
data_Sr2CeErBi4
_space_group_name_H-M_alt 'P 1 2/m 1'
_space_group_IT_number 10
_space_group_name_Hall '-P 2y'
_cell_length_a 8.012
_cell_length_b 4.656
_cell_length_c 8.201
_cell_angle_alpha 90.00
_cell_angle_beta 109.30
_cell_angle_gamma 90.00
loop_
_atom_site_label
_atom_site_type_symbol
_atom_site_fract_x
_atom_site_fract_y
_atom_site_fract_z
Sr1 Sr 0.000 0.000 0.000
Sr2 Sr 0.500 0.500 0.000
Ce1 Ce 0.000 0.500 0.500
Er1 Er 0.500 0.000 0.500
Bi1 Bi 0.243 0.000 0.724
Bi2 Bi 0.261 0.500 0.277
```


# 5
Below is a geometry-optimized KIr2Pb structure, with properties calculated at the PBE level.

Computed properties:
Theoretical density ... 10.439 Mg/m³
ΔH_f (0 K) ... 37 kJ per mole of atoms
Spin magnetization ... 0.000 μB per cell

```
data_KIr2Pb
_space_group_name_H-M_alt 'C 1 m 1'
_space_group_IT_number 8
_space_group_name_Hall 'C -2y'
_cell_length_a 8.813
_cell_length_b 2.991
_cell_length_c 7.673
_cell_angle_alpha 90.00
_cell_angle_beta 97.25
_cell_angle_gamma 90.00
loop_
_atom_site_label
_atom_site_type_symbol
_atom_site_fract_x
_atom_site_fract_y
_atom_site_fract_z
K1 K 0.000 0.000 0.000
Ir1 Ir 0.005 0.500 0.598
Ir2 Ir 0.240 0.000 0.688
Pb1 Pb 0.271 0.500 0.368
```


# 6
Below is a geometry-optimized SiPRh structure, with properties calculated at the PBE level.

Computed properties:
Theoretical density ... 5.335 Mg/m³
ΔE_f (raw) ... -0.23 eV/atom
Spin magnetization ... 0.000 μB per cell

```
data_SiPRh
_space_group_name_H-M_alt 'A m m 2'
_space_group_IT_number 38
_space_group_name_Hall 'A 2 -2'
_cell_length_a 3.509
_cell_length_b 3.528
_cell_length_c 8.146
_cell_angle_alpha 90.00
_cell_angle_beta 90.00
_cell_angle_gamma 90.00
loop_
_atom_site_label
_atom_site_type_symbol
_atom_site_fract_x
_atom_site_fract_y
_atom_site_fract_z
Si1 Si 0.000 0.000 0.000
P1 P 0.500 0.000 0.821
Rh1 Rh 0.500 0.000 0.537
```


# 7
Below is a geometry-optimized Br2ClO2 structure, with properties calculated at the PBE level.

Computed properties:
Theoretical density ... 2.279 Mg/m³
ΔE_f (raw) ... 0.08 eV/atom
Spin magnetization ... 1.806 μB per cell

```
data_Br2ClO2
_space_group_name_H-M_alt 'P -1'
_space_group_IT_number 2
_space_group_name_Hall '-P 1'
_cell_length_a 4.608
_cell_length_b 5.469
_cell_length_c 7.006
_cell_angle_alpha 96.65
_cell_angle_beta 105.65
_cell_angle_gamma 99.02
loop_
_atom_site_label
_atom_site_type_symbol
_atom_site_fract_x
_atom_site_fract_y
_atom_site_fract_z
Br1 Br 0.106 0.027 0.184
Cl1 Cl 0.500 0.000 0.500
O1 O 0.444 0.493 0.909
```


# 8
Below is a geometry-optimized BaOs2 structure, with properties calculated at the PBE level.

Computed properties:
Theoretical density ... 12.278 Mg/m³
ΔH_f (0 K) ... 44 kJ per mole of atoms
Offset from the most stable computed form ... 0.042 eV per atom
Spin magnetization ... 0.000 μB per cell

```
data_BaOs2
_space_group_name_H-M_alt 'C m c m'
_space_group_IT_number 63
_space_group_name_Hall '-C 2c 2'
_cell_length_a 11.869
_cell_length_b 5.200
_cell_length_c 4.539
_cell_angle_alpha 90.00
_cell_angle_beta 90.00
_cell_angle_gamma 90.00
loop_
_atom_site_label
_atom_site_type_symbol
_atom_site_fract_x
_atom_site_fract_y
_atom_site_fract_z
Ba1 Ba 0.000 0.237 0.250
Os1 Os 0.228 0.353 0.750
```